[1]
VASP calculation (GGA-PBE) on a relaxed structure of Tb4Sm3Ga4.

Lattice parameters (Å, degrees): 4.6639 7.9853 9.3167 115.38 104.50 90.00
Last column: nearest neighbours and their distance in Å.
Atoms (fractional coordinates):
Ga 0.7830 0.2830 0.5660  6 Tb 2.95-3.00
Ga 0.5000 0.8306 0.0000  1 Ga 2.71, 2 Tb 2.91
Ga 0.5000 0.1694 0.0000  1 Ga 2.71, 2 Tb 2.91
Ga 0.2170 0.7170 0.4340  6 Tb 2.95-3.00
Tb 0.6686 0.8736 0.3372  4 Ga 2.91-3.00
Tb 0.6686 0.4635 0.3372  4 Ga 2.91-3.00
Tb 0.3314 0.5365 0.6628  4 Ga 2.91-3.00
Tb 0.3314 0.1264 0.6628  4 Ga 2.91-3.00
Sm 0.8885 0.8885 0.7770  6 Ga 3.24-3.62, 4 Tb 3.44, 1 Sm 3.61
Sm 0.1115 0.1115 0.2230  6 Ga 3.24-3.62, 4 Tb 3.44, 1 Sm 3.61
Sm 0.0000 0.5000 0.0000  6 Ga 3.51-3.52

Output
- space group = No. 71



[2]
VASP calculation (GGA-PBE) on a relaxed structure of TbSm8Ga6.

Lattice parameters (Å, degrees): 8.7768 8.7768 8.0587 57.01 57.01 60.00
Last column: nearest neighbours and their distance in Å.
Atoms (fractional coordinates):
Ga 0.3869 0.0564 0.8305  7 Sm 3.08-3.18, 1 Tb 3.09
Ga 0.2737 0.6131 0.1695  7 Sm 3.08-3.18, 1 Tb 3.09
Ga 0.7263 0.3869 0.8305  7 Sm 3.08-3.18, 1 Tb 3.09
Ga 0.0564 0.7263 0.8305  7 Sm 3.08-3.18, 1 Tb 3.09
Ga 0.6131 0.9436 0.1695  7 Sm 3.08-3.18, 1 Tb 3.09
Ga 0.9436 0.2737 0.1695  7 Sm 3.08-3.18, 1 Tb 3.09
Sm 0.5536 0.2205 0.3385  5 Ga 3.08-3.18
Sm 0.8874 0.5536 0.3385  5 Ga 3.08-3.18
Sm 0.1126 0.4464 0.6615  5 Ga 3.08-3.18
Sm 0.2205 0.8874 0.3385  5 Ga 3.08-3.18
Sm 0.3338 0.3338 0.9987  6 Ga 3.12-3.13
Sm 0.6662 0.6662 0.0013  6 Ga 3.12-3.13
Sm 0.4464 0.7795 0.6615  5 Ga 3.08-3.18
Sm 0.7795 0.1126 0.6615  5 Ga 3.08-3.18
Tb 0.0000 0.0000 0.0000  6 Ga 3.09

Output
- space group = No. 148



[3]
VASP calculation (GGA-PBE) on a relaxed structure of Tb2SmGa.

Lattice parameters (Å, degrees): 4.2579 6.3832 9.1089 90.00 90.00 109.49
Last column: nearest neighbours and their distance in Å.
Atoms (fractional coordinates):
Tb 0.3555 0.7107 0.5559  3 Ga 3.04-3.06
Tb 0.6445 0.2893 0.4441  3 Ga 3.04-3.06
Tb 0.3555 0.7107 0.9441  3 Ga 3.04-3.06
Tb 0.6445 0.2893 0.0559  3 Ga 3.04-3.06
Sm 0.0595 0.1189 0.7500  2 Ga 3.10
Sm 0.9405 0.8811 0.2500  2 Ga 3.10
Ga 0.7469 0.4932 0.7500  6 Tb 3.04-3.06, 2 Sm 3.10
Ga 0.2531 0.5068 0.2500  6 Tb 3.04-3.06, 2 Sm 3.10

Output
- polymorph energy (0 for the lowest one) (eV/atom) = 0.034
- space group = No. 63



[4]
VASP calculation (GGA-PBE) on a relaxed structure of Tb3Sm2Ga2.

Lattice parameters (Å, degrees): 4.1800 6.4004 8.6447 112.04 90.00 109.06
Last column: nearest neighbours and their distance in Å.
Atoms (fractional coordinates):
Tb 0.5000 0.0000 0.0000  4 Ga 3.00
Tb 0.3794 0.7588 0.5620  3 Ga 3.07
Tb 0.6206 0.2412 0.4380  3 Ga 3.07
Sm 0.1505 0.3011 0.8096  3 Ga 3.07-3.40
Sm 0.8495 0.6989 0.1904  3 Ga 3.07-3.40
Ga 0.8290 0.6580 0.7867  5 Tb 3.00-3.07, 2 Sm 3.07
Ga 0.1710 0.3420 0.2133  5 Tb 3.00-3.07, 2 Sm 3.07

Output
- space group = No. 12



[5]
VASP calculation (GGA-PBE) on a relaxed structure of Tb4SmGa4.

Lattice parameters (Å, degrees): 4.8032 10.0519 10.0519 90.00 90.00 90.00
Last column: nearest neighbours and their distance in Å.
Atoms (fractional coordinates):
Ga 0.5000 0.8260 0.9270  2 Ga 2.68, 2 Tb 2.93-3.00
Ga 0.5000 0.0730 0.8260  2 Ga 2.68, 2 Tb 2.93-3.00
Ga 0.0000 0.3260 0.4270  2 Ga 2.68, 2 Tb 2.93-3.00
Ga 0.0000 0.4270 0.6740  2 Ga 2.68, 2 Tb 2.93-3.00
Ga 0.5000 0.1740 0.0730  2 Ga 2.68, 2 Tb 2.93-3.00
Ga 0.0000 0.6740 0.5730  2 Ga 2.68, 2 Tb 2.93-3.00
Ga 0.0000 0.5730 0.3260  2 Ga 2.68, 2 Tb 2.93-3.00
Ga 0.5000 0.9270 0.1740  2 Ga 2.68, 2 Tb 2.93-3.00
Tb 0.5000 0.8568 0.6302  4 Ga 2.93-3.08
Tb 0.0000 0.3568 0.1302  4 Ga 2.93-3.08
Tb 0.5000 0.1432 0.3698  4 Ga 2.93-3.08
Tb 0.5000 0.3698 0.8568  4 Ga 2.93-3.08
Tb 0.0000 0.6432 0.8698  4 Ga 2.93-3.08
Tb 0.0000 0.1302 0.6432  4 Ga 2.93-3.08
Tb 0.5000 0.6302 0.1432  4 Ga 2.93-3.08
Tb 0.0000 0.8698 0.3568  4 Ga 2.93-3.08
Sm 0.5000 0.5000 0.5000  8 Ga 3.06
Sm 0.0000 0.0000 0.0000  8 Ga 3.06

Output
- space group = No. 87



[6]
VASP calculation (GGA-PBE) on a relaxed structure of TbSmGa.

Lattice parameters (Å, degrees): 3.7293 5.0024 5.0024 120.00 90.00 90.00
Last column: nearest neighbours and their distance in Å.
Atoms (fractional coordinates):
Ga 0.6931 0.6667 0.3333  3 Tb 3.02, 3 Sm 3.11
Tb 0.9255 0.0000 0.0000  3 Ga 3.02, 3 Sm 3.35
Sm 0.3814 0.3333 0.6667  3 Ga 3.11, 3 Tb 3.35

Output
- polymorph energy (0 for the lowest one) (eV/atom) = 0.127
- space group = No. 156



[7]
VASP calculation (GGA-PBE) on a relaxed structure of Tb2SmGa3.

Lattice parameters (Å, degrees): 6.0784 9.6859 7.8028 128.37 112.92 90.00
Last column: nearest neighbours and their distance in Å.
Atoms (fractional coordinates):
Ga 0.0000 0.2499 0.0000  4 Tb 2.99-3.00, 4 Ga 3.04-3.06
Ga 0.0000 0.7501 0.0000  4 Tb 2.99-3.00, 4 Ga 3.04-3.06
Ga 0.0000 0.5000 0.5000  4 Tb 3.00, 4 Ga 3.06
Ga 0.0000 0.0000 0.5000  4 Tb 3.00, 4 Ga 3.06
Ga 0.5000 0.2501 0.0000  4 Tb 2.99-3.00, 4 Ga 3.04-3.06
Ga 0.5000 0.7499 0.0000  4 Tb 2.99-3.00, 4 Ga 3.04-3.06
Tb 0.8338 0.0840 0.1679  6 Ga 2.99-3.00
Tb 0.1662 0.9160 0.8321  6 Ga 2.99-3.00
Tb 0.1658 0.4160 0.8321  6 Ga 2.99-3.00
Tb 0.8342 0.5840 0.1679  6 Ga 2.99-3.00
Sm 0.4995 0.2500 0.5000  6 Tb 3.51-3.55, 12 Ga 3.88-3.90
Sm 0.5005 0.7500 0.5000  6 Tb 3.51-3.55, 12 Ga 3.88-3.90

Output
- polymorph energy (0 for the lowest one) (eV/atom) = 0.289
- space group = No. 74



[8]
VASP calculation (GGA-PBE) on a relaxed structure of TbSmGa.

Lattice parameters (Å, degrees): 5.0122 5.0122 5.0122 60.00 60.00 60.00
Last column: nearest neighbours and their distance in Å.
Atoms (fractional coordinates):
Sm 0.5000 0.5000 0.5000  4 Ga 3.07
Tb 0.0000 0.0000 0.0000  4 Ga 3.07
Ga 0.2500 0.2500 0.2500  4 Tb 3.07, 4 Sm 3.07

Output
- polymorph energy (0 for the lowest one) (eV/atom) = 0.161
- space group = No. 216



[9]
VASP calculation (GGA-PBE) on a relaxed structure of TbSm2Ga6.

Lattice parameters (Å, degrees): 4.3648 7.0818 7.9202 116.56 105.99 90.00
Last column: nearest neighbours and their distance in Å.
Atoms (fractional coordinates):
Ga 0.3197 0.1303 0.6394  2 Ga 2.58-2.68
Ga 0.6803 0.4909 0.3606  2 Ga 2.58-2.68
Ga 0.3197 0.5091 0.6394  2 Ga 2.58-2.68
Ga 0.5000 0.1901 0.0000  3 Ga 2.58-2.69
Ga 0.6803 0.8697 0.3606  2 Ga 2.58-2.68
Ga 0.5000 0.8099 0.0000  3 Ga 2.58-2.69
Sm 0.1283 0.1283 0.2566  10 Ga 2.91-3.18
Sm 0.8717 0.8717 0.7434  10 Ga 2.91-3.18
Tb 0.0000 0.5000 0.0000  4 Ga 3.09

Output
- polymorph energy (0 for the lowest one) (eV/atom) = 0.221
- space group = No. 71



[10]
VASP calculation (GGA-PBE) on a relaxed structure of TbSm4Ga4.

Lattice parameters (Å, degrees): 7.2497 7.2497 9.9425 90.00 90.00 90.00
Last column: nearest neighbours and their distance in Å.
Atoms (fractional coordinates):
Ga 0.6705 0.0000 0.3582  1 Ga 2.47
Ga 0.5000 0.1705 0.8582  1 Ga 2.47
Ga 0.5000 0.8295 0.8582  1 Ga 2.47
Ga 0.8295 0.5000 0.1418  1 Ga 2.47
Ga 0.3295 0.0000 0.3582  1 Ga 2.47
Ga 0.0000 0.3295 0.6418  1 Ga 2.47
Ga 0.0000 0.6705 0.6418  1 Ga 2.47
Ga 0.1705 0.5000 0.1418  1 Ga 2.47
Sm 0.2579 0.5000 0.8486  5 Ga 2.97-3.04
Sm 0.0000 0.7579 0.3486  5 Ga 2.97-3.04
Sm 0.5000 0.2579 0.1514  5 Ga 2.97-3.04
Sm 0.7421 0.5000 0.8486  5 Ga 2.97-3.04
Sm 0.0000 0.2421 0.3486  5 Ga 2.97-3.04
Sm 0.5000 0.7421 0.1514  5 Ga 2.97-3.04
Sm 0.2421 0.0000 0.6514  5 Ga 2.97-3.04
Sm 0.7579 0.0000 0.6514  5 Ga 2.97-3.04
Tb 0.5000 0.5000 0.5000  12 Sm 3.89-4.35, 12 Ga 4.08-4.29
Tb 0.0000 0.0000 0.0000  12 Sm 3.89-4.35, 12 Ga 4.08-4.29

Output
- space group = No. 137



[11]
VASP calculation (GGA-PBE) on a relaxed structure of Tb4SmGa5.

Lattice parameters (Å, degrees): 3.5958 3.5958 18.0043 90.00 90.00 90.00
Last column: nearest neighbours and their distance in Å.
Atoms (fractional coordinates):
Ga 0.5000 0.5000 0.8956  4 Tb 3.10, 4 Sm 3.16
Ga 0.5000 0.5000 0.6981  8 Tb 3.11
Ga 0.5000 0.5000 0.5000  8 Tb 3.11
Ga 0.5000 0.5000 0.3019  8 Tb 3.11
Ga 0.5000 0.5000 0.1044  4 Tb 3.10, 4 Sm 3.16
Sm 0.0000 0.0000 0.0000  8 Ga 3.16
Tb 0.0000 0.0000 0.4009  8 Ga 3.11
Tb 0.0000 0.0000 0.5991  8 Ga 3.11
Tb 0.0000 0.0000 0.2027  8 Ga 3.10-3.11
Tb 0.0000 0.0000 0.7973  8 Ga 3.10-3.11

Output
- space group = No. 123



[12]
VASP calculation (GGA-PBE) on a relaxed structure of TbSm4Ga5.

Lattice parameters (Å, degrees): 3.6332 3.6332 18.1857 90.00 90.00 90.00
Last column: nearest neighbours and their distance in Å.
Atoms (fractional coordinates):
Sm 0.0000 0.0000 0.1974  8 Ga 3.16-3.17
Sm 0.0000 0.0000 0.6008  8 Ga 3.16
Sm 0.0000 0.0000 0.8026  8 Ga 3.16-3.17
Sm 0.0000 0.0000 0.3992  8 Ga 3.16
Ga 0.5000 0.5000 0.0956  4 Tb 3.10, 4 Sm 3.17
Ga 0.5000 0.5000 0.7017  8 Sm 3.16
Ga 0.5000 0.5000 0.5000  8 Sm 3.16
Ga 0.5000 0.5000 0.2983  8 Sm 3.16
Ga 0.5000 0.5000 0.9044  4 Tb 3.10, 4 Sm 3.17
Tb 0.0000 0.0000 0.0000  8 Ga 3.10

Output
- space group = No. 123



The calculation returns the following energy of formation values, one per record and in order: -371.0, -521.6, -94.2, -209.6, -346.8, -79.6, -168.5, -69.7, -388.3, -228.1, -562.9, -554.9 kJ/mol of formula units.